[1]
BeAg2Ir: optimized geometry, PBEsol.

Calculated values
* formation energy: 0.30 eV/atom

a b c (Å): 2.795 2.795 6.958
angles (deg): 90.00 90.00 90.00
Positions (direct):
Be  0.500  0.500  0.000
Ir  0.500  0.500  0.500
Ag  0.000  0.000  0.787
Ag  0.000  0.000  0.213

***

[2]
NaYHf3: optimized geometry, PBEsol.

Calculated values
* formation energy: 1.40 eV/atom

a b c (Å): 5.015 5.015 5.015
angles (deg): 90.00 90.00 90.00
Positions (direct):
Y  0.500  0.500  0.500
Na  0.000  0.000  0.000
Hf  0.000  0.500  0.000
Hf  0.000  0.000  0.500
Hf  0.500  0.000  0.000

***

[3]
Zn2CoCl: optimized geometry, PBEsol.

Calculated values
* DFT total energy: -12.149 eV for the cell shown

a b c (Å): 2.879 2.968 8.046
angles (deg): 90.00 90.00 119.01
Positions (direct):
Zn  0.000  0.000  0.984
Zn  0.500  0.000  0.245
Co  0.500  0.000  0.743
Cl  0.000  0.000  0.528

***

[4]
ScSiAs3: optimized geometry, PBEsol.

Calculated values
* DFT total energy: -26.617 eV for the cell shown

a b c (Å): 4.705 4.705 4.705
angles (deg): 90.00 90.00 90.00
Positions (direct):
Sc  0.500  0.500  0.500
As  0.000  0.500  0.000
As  0.000  0.000  0.500
As  0.500  0.000  0.000
Si  0.000  0.000  0.000

***

[5]
Re2HgTeH: optimized geometry, PBEsol.

Calculated values
* DFT total energy: -25.918 eV for the cell shown

a b c (Å): 3.336 5.009 5.009
angles (deg): 90.00 90.00 90.00
Positions (direct):
Re  0.000  0.000  0.500
Re  0.000  0.500  0.000
Te  0.000  0.000  0.000
Hg  0.500  0.500  0.500
H  0.500  0.000  0.000

***

[6]
MnCrPt: optimized geometry, PBEsol.

Calculated values
* formation energy: 0.60 eV/atom

a b c (Å): 4.082 4.082 4.082
angles (deg): 60.00 60.00 60.00
Positions (direct):
Cr  0.000  0.000  0.000
Mn  0.500  0.500  0.500
Pt  0.250  0.250  0.250